# 1
Na2TbMoPO8: single point on PBEsol structure, meta-GGA SCAN.

abc: 6.910 11.340 11.340
angles: 64.33 72.26 72.26
Atoms (fractional coordinates):
O  0.670  0.577  0.561
O  0.330  0.150  0.607
O  0.192  0.061  0.077
O  0.692  0.077  0.061
O  0.768  0.638  0.898
O  0.170  0.393  0.850
O  0.414  0.650  0.107
O  0.433  0.140  0.845
O  0.268  0.898  0.638
O  0.567  0.860  0.155
O  0.067  0.155  0.860
O  0.418  0.655  0.360
O  0.196  0.138  0.398
O  0.830  0.607  0.150
O  0.086  0.893  0.350
O  0.330  0.423  0.439
O  0.304  0.602  0.862
O  0.308  0.923  0.939
O  0.804  0.862  0.602
O  0.232  0.362  0.102
O  0.808  0.939  0.923
O  0.732  0.102  0.362
O  0.914  0.107  0.650
O  0.918  0.360  0.655
O  0.696  0.398  0.138
O  0.670  0.850  0.393
O  0.170  0.561  0.577
O  0.582  0.345  0.640
O  0.082  0.640  0.345
O  0.830  0.439  0.423
O  0.586  0.350  0.893
O  0.933  0.845  0.140
Tb  0.250  0.321  0.679
Tb  0.750  0.679  0.321
Tb  0.750  0.179  0.821
Tb  0.250  0.821  0.179
Mo  0.179  0.071  0.571
Mo  0.321  0.429  0.929
Mo  0.679  0.571  0.071
Mo  0.821  0.929  0.429
Na  0.355  0.104  0.204
Na  0.164  0.396  0.296
Na  0.836  0.604  0.704
Na  0.336  0.704  0.604
Na  0.855  0.204  0.104
Na  0.145  0.796  0.896
Na  0.664  0.296  0.396
Na  0.645  0.896  0.796
P  0.750  0.932  0.068
P  0.250  0.068  0.932
P  0.250  0.568  0.432
P  0.750  0.432  0.568

Computed properties:
Formation energy from raw total energies, eV/atom: -2.74
SG: Ibca (73)
Magnetic moment, μB/atom: 0.000
Theoretical density, g/cm³: 4.087


# 2
MgAg2Ir: single point on PBEsol structure, meta-GGA SCAN.

abc: 2.973 4.733 4.733
angles: 107.82 90.00 90.00
Atoms (fractional coordinates):
Ag  0.000  0.500  0.000
Ag  0.000  0.000  0.500
Mg  0.500  0.500  0.500
Ir  0.500  0.000  0.000

Computed properties:
DFT formation energy, eV per atom: 0.0966
SG: Cmmm (65)
Magnetic moment, μB/atom: 0.000
Theoretical density, g/cm³: 11.318


# 3
Ba2LiCu3O6: single point on PBEsol structure, meta-GGA SCAN.

abc: 7.006 7.006 8.120
angles: 107.06 107.06 108.66
Site moments in Bohr magnetons follow the coordinates.
Atoms (fractional coordinates):
O  0.696  0.923  0.619  0.19
O  0.102  0.323  0.805  0.09
O  0.898  0.677  0.195  0.09
O  0.703  0.481  0.805  0.09
O  0.304  0.077  0.381  0.19
O  0.323  0.102  0.805  0.09
O  0.677  0.898  0.195  0.09
O  0.481  0.703  0.805  0.09
O  0.297  0.519  0.195  0.09
O  0.923  0.696  0.619  0.19
O  0.519  0.297  0.195  0.09
O  0.077  0.304  0.381  0.19
Ba  0.771  0.229  0.000  0.01
Ba  0.229  0.771  0.000  0.01
Ba  0.750  0.250  0.500  0.02
Ba  0.250  0.750  0.500  0.02
Li  0.665  0.665  0.330  0.00
Li  0.335  0.335  0.670  0.00
Cu  0.324  0.324  0.000  0.06
Cu  0.006  0.006  0.696  0.58
Cu  0.676  0.676  0.000  0.06
Cu  0.310  0.310  0.304  0.58
Cu  0.690  0.690  0.696  0.58
Cu  0.994  0.994  0.304  0.58

Computed properties:
Formation energy from raw total energies, eV/atom: -1.70
SG: Fmmm (69)
Magnetic moment, μB/atom: 0.168
Theoretical density, g/cm³: 5.783


# 4
CuReSb2: single point on PBEsol structure, meta-GGA SCAN.

abc: 3.110 3.110 8.280
angles: 90.00 90.00 111.44
Atoms (fractional coordinates):
Cu  0.500  0.500  0.500
Sb  0.000  0.000  0.750
Sb  0.000  0.000  0.250
Re  0.500  0.500  0.000

Computed properties:
Formation energy from raw total energies, eV/atom: 0.82
SG: Cmmm (65)
Magnetic moment, μB/atom: 0.000
Theoretical density, g/cm³: 10.987


# 5
Be2POs: single point on PBEsol structure, meta-GGA SCAN.

abc: 2.679 2.679 7.498
angles: 90.00 90.00 117.56
Atoms (fractional coordinates):
P  0.500  0.500  0.245
Os  0.000  0.000  0.504
Be  0.000  0.000  0.993
Be  0.500  0.500  0.759

Computed properties:
DFT formation energy, eV per atom: 0.4787
SG: Cmm2 (35)
Magnetic moment, μB/atom: 0.000
Theoretical density, g/cm³: 8.326


# 6
MgBeHg2: single point on PBEsol structure, meta-GGA SCAN.

abc: 3.555 4.450 4.450
angles: 90.00 90.00 90.00
Atoms (fractional coordinates):
Mg  0.500  0.500  0.500
Hg  0.000  0.500  0.000
Hg  0.000  0.000  0.500
Be  0.500  0.000  0.000

Computed properties:
DFT formation energy, eV per atom: 0.1006
SG: P4/mmm (123)
Magnetic moment, μB/atom: 0.000
Theoretical density, g/cm³: 10.250


# 7
Co8Pt: single point on PBEsol structure, meta-GGA SCAN.

abc: 3.526 5.573 5.573
angles: 84.26 71.56 71.56
Site moments in Bohr magnetons follow the coordinates.
Atoms (fractional coordinates):
Co  0.674  0.000  0.653  1.89
Co  0.674  0.653  0.000  1.89
Co  0.660  0.340  0.340  1.87
Co  0.326  0.347  0.000  1.89
Co  0.326  0.000  0.347  1.89
Co  0.340  0.660  0.660  1.87
Co  0.000  0.660  0.340  1.87
Co  0.000  0.340  0.660  1.87
Pt  0.000  0.000  0.000  0.35

Computed properties:
DFT formation energy, eV per atom: -0.0267
SG: I4/mmm (139)
Magnetic moment, μB/atom: 1.686
Theoretical density, g/cm³: 11.231


# 8
Na5H3C4O12: single point on PBEsol structure, meta-GGA SCAN.

abc: 3.446 10.055 15.540
angles: 107.65 95.51 94.87
Atoms (fractional coordinates):
O  0.930  0.121  0.810
O  0.372  0.461  0.777
O  0.884  0.062  0.328
O  0.186  0.603  0.396
O  0.814  0.397  0.604
O  0.306  0.851  0.058
O  0.358  0.928  0.542
O  0.259  0.138  0.637
O  0.308  0.412  0.435
O  0.741  0.862  0.363
O  0.694  0.149  0.942
O  0.116  0.938  0.672
O  0.627  0.659  0.891
O  0.628  0.539  0.223
O  0.286  0.555  0.099
O  0.714  0.445  0.901
O  0.300  0.070  0.154
O  0.692  0.588  0.565
O  0.642  0.072  0.458
O  0.936  0.386  0.304
O  0.700  0.930  0.846
O  0.064  0.614  0.696
O  0.373  0.341  0.109
O  0.070  0.879  0.190
Na  0.184  0.717  0.276
Na  0.419  0.213  0.306
Na  0.216  0.326  0.951
Na  0.816  0.283  0.724
Na  0.784  0.674  0.049
Na  0.808  0.178  0.096
Na  0.581  0.787  0.694
Na  0.192  0.822  0.904
Na  0.774  0.749  0.477
Na  0.226  0.251  0.523
H  0.009  0.042  0.755
H  0.500  0.500  0.500
H  0.991  0.958  0.245
H  0.500  0.000  0.500
H  0.255  0.533  0.746
H  0.745  0.467  0.254
C  0.420  0.474  0.140
C  0.861  0.529  0.622
C  0.580  0.526  0.860
C  0.765  0.063  0.869
C  0.243  0.005  0.619
C  0.139  0.471  0.378
C  0.235  0.937  0.131
C  0.757  0.995  0.381

Computed properties:
Calculated total energy, eV per atom: -7.793
SG: P-1 (2)
Magnetic moment, μB/atom: 0.000
Theoretical density, g/cm³: 2.345